Model w:
Material: CrAs2Cl
Method: DFT, SCAN
State: PBEsol geometry

a b c (Å): 6.564 6.564 6.564
angles (deg): 90.00 90.00 90.00
Space group F-43m (No. 216)
Unique sites:
Cr  0.000  0.000  0.000 [4 per cell]
As  0.000  0.000  0.500 [4 per cell]
As  0.250  0.250  0.750 [4 per cell]
Cl  0.250  0.250  0.250 [4 per cell]

Model x:
Material: CrAs2Cl
Method: DFT, SCAN
State: PBEsol geometry

a b c (Å): 8.871 2.891 6.832
angles (deg): 90.00 103.85 90.00
Space group Cm (No. 8)
Unique sites:
Cr  0.000  0.000  0.000 [2 per cell]
As  0.092  0.500  0.325 [2 per cell]
As  0.238  0.500  0.075 [2 per cell]
Cl  0.403  0.000  0.742 [2 per cell]

Verdict on stability: model w comes out at the bottom.

Model w:
Material: InHg2Cl
Method: DFT, SCAN
State: PBEsol geometry

a b c (Å): 3.600 5.486 10.204
angles (deg): 90.00 90.00 90.00
Space group Imm2 (No. 44)
Unique sites:
In  0.000  0.000  0.000 [2 per cell]
Hg  0.000  0.000  0.483 [2 per cell]
Hg  0.000  0.500  0.244 [2 per cell]
Cl  0.000  0.500  0.707 [2 per cell]

Model x:
Material: InHg2Cl
Method: DFT, SCAN
State: PBEsol geometry

a b c (Å): 3.664 3.664 7.535
angles (deg): 90.00 90.00 90.00
Space group P4mm (No. 99)
Unique sites:
In  0.000  0.000  0.000 [1 per cell]
Hg  0.000  0.000  0.489 [1 per cell]
Hg  0.500  0.500  0.722 [1 per cell]
Cl  0.500  0.500  0.200 [1 per cell]

Verdict on stability: model w comes out at the bottom.

Model w:
Material: La2AgIr
Method: DFT, SCAN
State: PBEsol geometry

a b c (Å): 4.545 4.023 10.861
angles (deg): 90.00 90.00 90.00
Space group Amm2 (No. 38)
Unique sites:
La  0.000  0.000  0.000 [2 per cell]
La  0.500  0.000  0.278 [2 per cell]
Ag  0.000  0.000  0.714 [2 per cell]
Ir  0.500  0.000  0.544 [2 per cell]

Model x:
Material: La2AgIr
Method: DFT, SCAN
State: PBEsol geometry

a b c (Å): 3.597 3.597 7.474
angles (deg): 90.00 90.00 90.00
Space group P4/mmm (No. 123)
Unique sites:
La  0.000  0.000  0.224 [2 per cell]
Ag  0.500  0.500  0.500 [1 per cell]
Ir  0.500  0.500  0.000 [1 per cell]

Verdict on stability: model x comes out at the bottom.

Model w:
Material: ZrSiAs2
Method: DFT, SCAN
State: PBEsol geometry

a b c (Å): 3.791 3.741 5.432
angles (deg): 90.00 110.14 90.00
Space group Pm (No. 6)
Unique sites:
Zr  0.000  0.000  0.000 [1 per cell]
Si  0.915  0.500  0.610 [1 per cell]
As  0.317  0.000  0.576 [1 per cell]
As  0.576  0.500  0.157 [1 per cell]

Model x:
Material: ZrSiAs2
Method: DFT, SCAN
State: PBEsol geometry

a b c (Å): 10.248 3.711 3.784
angles (deg): 90.00 90.74 90.00
Space group Cm (No. 8)
Unique sites:
Zr  0.000  0.000  0.000 [2 per cell]
Si  0.193  0.000  0.500 [2 per cell]
As  0.211  0.500  0.975 [2 per cell]
As  0.422  0.000  0.495 [2 per cell]

Verdict on stability: model x comes out at the bottom.

Model w:
Material: LiCu2Ni
Method: DFT, SCAN
State: PBEsol geometry

a b c (Å): 2.472 2.472 7.428
angles (deg): 90.00 90.00 90.00
Space group P4mm (No. 99)
Unique sites:
Li  0.000  0.000  0.000 [1 per cell]
Cu  0.000  0.000  0.486 [1 per cell]
Cu  0.500  0.500  0.730 [1 per cell]
Ni  0.500  0.500  0.251 [1 per cell]

Model x:
Material: LiCu2Ni
Method: DFT, SCAN
State: PBEsol geometry

a b c (Å): 8.333 2.464 4.377
angles (deg): 90.00 98.81 90.00
Space group C2/m (No. 12)
Unique sites:
Li  0.000  0.000  0.000 [2 per cell]
Cu  0.243  0.000  0.743 [4 per cell]
Ni  0.000  0.500  0.500 [2 per cell]

Verdict on stability: model w comes out at the bottom.

Model w:
Material: Ba6Na2Nb2V2O17
Method: DFT, SCAN
State: PBEsol geometry

a b c (Å): 5.8930 5.8930 30.1102
angles (deg): 90.00 90.00 120.00
Space group P6_3/mmc (No. 194)
Unique sites:
Ba  0.0000  0.0000  0.0000 [2 per cell]
Ba  0.0000  0.0000  0.2500 [2 per cell]
Ba  0.3333  0.6667  0.0903 [4 per cell]
Ba  0.3333  0.6667  0.6814 [4 per cell]
Na  0.0000  0.0000  0.1230 [4 per cell]
Nb  0.3333  0.6667  0.2013 [4 per cell]
V  0.3333  0.6667  0.5516 [4 per cell]
O  0.0249  0.5124  0.2500 [6 per cell]
O  0.1730  0.3461  0.1693 [12 per cell]
O  0.1753  0.3506  0.5714 [12 per cell]
O  0.3333  0.6667  0.0048 [4 per cell]

Model x:
Material: Ba6Na2Nb2V2O17
Method: DFT, SCAN
State: PBEsol geometry

a b c (Å): 10.208 5.863 14.775
angles (deg): 90.00 90.11 90.00
Space group C2 (No. 5)
Unique sites:
Ba  0.000  0.000  0.000 [2 per cell]
Ba  0.000  0.056  0.500 [2 per cell]
Ba  0.165  0.499  0.847 [4 per cell]
Ba  0.169  0.507  0.315 [4 per cell]
Na  0.001  0.003  0.250 [4 per cell]
Nb  0.167  0.499  0.086 [4 per cell]
V  0.165  0.515  0.604 [4 per cell]
O  0.000  0.486  0.000 [2 per cell]
O  0.074  0.715  0.161 [4 per cell]
O  0.082  0.300  0.659 [4 per cell]
O  0.093  0.770  0.633 [4 per cell]
O  0.104  0.244  0.155 [4 per cell]
O  0.161  0.458  0.492 [4 per cell]
O  0.177  0.016  0.355 [4 per cell]
O  0.177  0.024  0.841 [4 per cell]
O  0.240  0.764  0.002 [4 per cell]

Verdict on stability: model w comes out at the bottom.